# 1
The following is a meta-GGA SCAN calculation of Cd3AuBr at its PBEsol-relaxed geometry, from the Alexandria database. Values from VASP.

Structure (Quantum ESPRESSO input):
```
&SYSTEM
  ibrav = 0, nat = 5, ntyp = 3
/
ATOMIC_SPECIES
Au 196.97 Au.upf
Br 79.90 Br.upf
Cd 112.41 Cd.upf
ATOMIC_POSITIONS crystal
Au 0.000 0.000 0.000
Br 0.500 0.500 0.500
Cd 0.000 0.500 0.000
Cd 0.000 0.000 0.500
Cd 0.500 0.000 0.000
CELL_PARAMETERS angstrom
-4.677 1.146 2.033
1.309 -2.480 4.411
1.932 4.456 1.932
```

Summary:
The calculation puts the total magnetization at 0.00 μB per cell. As for the space-group type: No. 221. The value obtained for the uncorrected formation energy is -205 meV per atom. The crystal system is cubic.

***

# 2
The following is a meta-GGA SCAN calculation of Cd2Au2Br at its PBEsol-relaxed geometry, from the Alexandria database. Values from VASP.

Structure (Quantum ESPRESSO input):
```
&SYSTEM
  ibrav = 0, nat = 5, ntyp = 3
/
ATOMIC_SPECIES
Au 196.97 Au.upf
Br 79.90 Br.upf
Cd 112.41 Cd.upf
ATOMIC_POSITIONS crystal
Au 0.393 0.393 0.787
Au 0.607 0.607 0.213
Br 0.000 0.000 0.000
Cd 0.250 0.750 0.500
Cd 0.750 0.250 0.500
CELL_PARAMETERS angstrom
4.200 0.000 0.000
0.000 4.200 0.000
-2.100 -2.100 6.268
```

Summary:
The calculation puts the total magnetization at 0.00 μB per cell. As for the space-group type: No. 139. The value obtained for the uncorrected formation energy is -87 meV per atom. The crystal system is tetragonal.

***

# 3
The following is a meta-GGA SCAN calculation of La2CdAuBr at its PBEsol-relaxed geometry, from the Alexandria database. Values from VASP.

Structure (Quantum ESPRESSO input):
```
&SYSTEM
  ibrav = 0, nat = 5, ntyp = 4
/
ATOMIC_SPECIES
Cd 112.41 Cd.upf
Au 196.97 Au.upf
Br 79.90 Br.upf
La 138.91 La.upf
ATOMIC_POSITIONS crystal
Cd 0.500 0.000 0.000
Au 0.000 0.000 0.000
Br 0.500 0.500 0.500
La 0.000 0.000 0.500
La 0.000 0.500 0.000
CELL_PARAMETERS angstrom
-0.207 -3.550 3.639
5.695 0.363 0.678
-0.732 4.100 3.959
```

Summary:
The calculation puts the total magnetization at 0.00 μB per cell. As for the space-group type: No. 123. The value obtained for the uncorrected formation energy is -614 meV per atom. The crystal system is tetragonal.

***

# 4
The following is a meta-GGA SCAN calculation of AuBrCl2 at its PBEsol-relaxed geometry, from the Alexandria database. Values from VASP.

Structure (Quantum ESPRESSO input):
```
&SYSTEM
  ibrav = 0, nat = 4, ntyp = 3
/
ATOMIC_SPECIES
Au 196.97 Au.upf
Br 79.90 Br.upf
Cl 35.45 Cl.upf
ATOMIC_POSITIONS crystal
Au 0.500 0.000 0.000
Br 0.000 0.500 0.500
Cl 0.199 0.801 0.801
Cl 0.801 0.199 0.199
CELL_PARAMETERS angstrom
3.461 0.000 0.000
1.731 5.337 0.025
1.731 0.926 5.256
```

Summary:
The calculation puts the total magnetization at 0.00 μB per cell. As for the distance to the lowest polymorph of the same formula: 20.3 meV per atom. As for the space-group type: No. 71. The value obtained for the uncorrected formation energy is -47 meV per atom. The crystal system is orthorhombic.

***

# 5
The following is a meta-GGA SCAN calculation of AuBrCl2 at its PBEsol-relaxed geometry, from the Alexandria database. Values from VASP.

Structure (Quantum ESPRESSO input):
```
&SYSTEM
  ibrav = 0, nat = 4, ntyp = 3
/
ATOMIC_SPECIES
Au 196.97 Au.upf
Br 79.90 Br.upf
Cl 35.45 Cl.upf
ATOMIC_POSITIONS crystal
Au 0.500 0.500 0.500
Br 0.000 0.000 0.000
Cl 0.229 0.229 0.312
Cl 0.771 0.771 0.688
CELL_PARAMETERS angstrom
-1.097 0.421 -3.619
-3.129 -1.762 -1.256
-5.325 5.195 0.219
```

Summary:
The calculation puts the total magnetization at 0.01 μB per cell. As for the distance to the lowest polymorph of the same formula: 273.9 meV per atom. As for the space-group type: No. 166. The value obtained for the uncorrected formation energy is 207 meV per atom. The crystal system is trigonal.

***

# 6
The following is a meta-GGA SCAN calculation of AuBr4Cl at its PBEsol-relaxed geometry, from the Alexandria database. Values from VASP.

Structure (Quantum ESPRESSO input):
```
&SYSTEM
  ibrav = 0, nat = 6, ntyp = 3
/
ATOMIC_SPECIES
Au 196.97 Au.upf
Br 79.90 Br.upf
Cl 35.45 Cl.upf
ATOMIC_POSITIONS crystal
Au 0.000 0.000 0.000
Br 0.375 0.375 0.375
Br 0.375 0.375 0.876
Br 0.876 0.375 0.375
Br 0.375 0.876 0.375
Cl 0.750 0.750 0.750
CELL_PARAMETERS angstrom
5.874 0.000 0.000
2.937 5.087 0.000
2.937 1.696 4.796
```

Summary:
The calculation puts the total magnetization at 0.00 μB per cell. As for the space-group type: No. 216. The value obtained for the uncorrected formation energy is 837 meV per atom. The crystal system is cubic.

***

# 7
The following is a meta-GGA SCAN calculation of AuBrCl2 at its PBEsol-relaxed geometry, from the Alexandria database. Values from VASP.

Structure (Quantum ESPRESSO input):
```
&SYSTEM
  ibrav = 0, nat = 4, ntyp = 3
/
ATOMIC_SPECIES
Au 196.97 Au.upf
Br 79.90 Br.upf
Cl 35.45 Cl.upf
ATOMIC_POSITIONS crystal
Au 0.000 0.000 0.502
Br 0.500 0.000 0.721
Cl 0.000 0.000 0.971
Cl 0.500 0.000 0.305
CELL_PARAMETERS angstrom
3.632 0.000 0.000
-1.816 3.616 0.000
0.000 0.000 7.875
```

Summary:
The calculation puts the total magnetization at 0.00 μB per cell. As for the distance to the lowest polymorph of the same formula: 0.0 meV per atom. As for the space-group type: No. 35. The value obtained for the uncorrected formation energy is -67 meV per atom. The crystal system is orthorhombic.

***

# 8
The following is a meta-GGA SCAN calculation of AuBrCl at its PBEsol-relaxed geometry, from the Alexandria database. Values from VASP.

Structure (Quantum ESPRESSO input):
```
&SYSTEM
  ibrav = 0, nat = 3, ntyp = 3
/
ATOMIC_SPECIES
Au 196.97 Au.upf
Br 79.90 Br.upf
Cl 35.45 Cl.upf
ATOMIC_POSITIONS crystal
Au 0.996 0.000 0.008
Br 0.642 0.000 0.717
Cl 0.362 0.000 0.276
CELL_PARAMETERS angstrom
-1.597 -0.974 -3.201
1.945 -2.589 -2.330
-3.516 -4.978 1.121
```

Summary:
The calculation puts the total magnetization at 0.67 μB per cell. As for the space-group type: No. 42. The value obtained for the uncorrected formation energy is -149 meV per atom. The crystal system is orthorhombic.

***

# 9
The following is a meta-GGA SCAN calculation of AuBrCl2 at its PBEsol-relaxed geometry, from the Alexandria database. Values from VASP.

Structure (Quantum ESPRESSO input):
```
&SYSTEM
  ibrav = 0, nat = 4, ntyp = 3
/
ATOMIC_SPECIES
Au 196.97 Au.upf
Br 79.90 Br.upf
Cl 35.45 Cl.upf
ATOMIC_POSITIONS crystal
Au 0.169 0.601 0.000
Br 0.340 0.651 0.500
Cl 0.008 0.067 0.000
Cl 0.484 0.181 0.500
CELL_PARAMETERS angstrom
3.843 -0.142 0.000
-1.067 4.501 0.000
0.000 0.000 5.767
```

Summary:
The calculation puts the total magnetization at 0.00 μB per cell. As for the distance to the lowest polymorph of the same formula: 162.4 meV per atom. As for the space-group type: No. 6. The value obtained for the uncorrected formation energy is 96 meV per atom. The crystal system is monoclinic.

***

# 10
The following is a meta-GGA SCAN calculation of AuBrCl2 at its PBEsol-relaxed geometry, from the Alexandria database. Values from VASP.

Structure (Quantum ESPRESSO input):
```
&SYSTEM
  ibrav = 0, nat = 4, ntyp = 3
/
ATOMIC_SPECIES
Au 196.97 Au.upf
Br 79.90 Br.upf
Cl 35.45 Cl.upf
ATOMIC_POSITIONS crystal
Au 0.000 0.500 0.500
Br 0.000 0.000 0.000
Cl 0.000 0.500 0.000
Cl 0.000 0.000 0.500
CELL_PARAMETERS angstrom
3.652 -0.096 -0.107
-1.562 5.017 -0.029
-1.562 -0.586 4.983
```

Summary:
The calculation puts the total magnetization at 0.00 μB per cell. As for the distance to the lowest polymorph of the same formula: 341.5 meV per atom. As for the space-group type: No. 12. The value obtained for the uncorrected formation energy is 275 meV per atom. The crystal system is monoclinic.

***

# 11
The following is a meta-GGA SCAN calculation of AuBrCl2 at its PBEsol-relaxed geometry, from the Alexandria database. Values from VASP.

Structure (Quantum ESPRESSO input):
```
&SYSTEM
  ibrav = 0, nat = 4, ntyp = 3
/
ATOMIC_SPECIES
Au 196.97 Au.upf
Br 79.90 Br.upf
Cl 35.45 Cl.upf
ATOMIC_POSITIONS crystal
Au 0.500 0.500 0.500
Br 0.500 0.000 0.000
Cl 0.000 0.000 0.500
Cl 0.000 0.500 0.000
CELL_PARAMETERS angstrom
-0.876 -0.752 -2.798
-2.708 -3.900 1.897
-4.076 3.053 0.456
```

Summary:
The calculation puts the total magnetization at 0.00 μB per cell. As for the distance to the lowest polymorph of the same formula: 679.5 meV per atom. As for the space-group type: No. 123. The value obtained for the uncorrected formation energy is 613 meV per atom. The crystal system is tetragonal.

***

# 12
The following is a meta-GGA SCAN calculation of AuBrCl2 at its PBEsol-relaxed geometry, from the Alexandria database. Values from VASP.

Structure (Quantum ESPRESSO input):
```
&SYSTEM
  ibrav = 0, nat = 4, ntyp = 3
/
ATOMIC_SPECIES
Au 196.97 Au.upf
Br 79.90 Br.upf
Cl 35.45 Cl.upf
ATOMIC_POSITIONS crystal
Au 0.000 0.000 0.494
Br 0.500 0.500 0.725
Cl 0.000 0.000 0.974
Cl 0.500 0.500 0.306
CELL_PARAMETERS angstrom
-0.749 -3.129 -0.540
3.030 -0.870 0.841
-2.300 -0.747 7.515
```

Summary:
The calculation puts the total magnetization at 0.00 μB per cell. As for the distance to the lowest polymorph of the same formula: 578.2 meV per atom. As for the space-group type: No. 99. The value obtained for the uncorrected formation energy is 511 meV per atom. The crystal system is tetragonal.

***

# 13
The following is a meta-GGA SCAN calculation of AuBrCl2O at its PBEsol-relaxed geometry, from the Alexandria database. Values from VASP.

Structure (Quantum ESPRESSO input):
```
&SYSTEM
  ibrav = 0, nat = 5, ntyp = 4
/
ATOMIC_SPECIES
Au 196.97 Au.upf
O 16.00 O.upf
Br 79.90 Br.upf
Cl 35.45 Cl.upf
ATOMIC_POSITIONS crystal
Au 0.500 0.500 0.500
O 0.500 0.000 0.000
Br 0.000 0.000 0.000
Cl 0.000 0.000 0.500
Cl 0.000 0.500 0.000
CELL_PARAMETERS angstrom
-2.226 2.693 1.138
-3.778 -3.523 0.949
1.786 -0.595 4.903
```

Summary:
The calculation puts the total magnetization at 0.00 μB per cell. As for the space-group type: No. 123. The value obtained for the uncorrected formation energy is 640 meV per atom. The crystal system is tetragonal.

***

# 14
The following is a meta-GGA SCAN calculation of PbAuBrCl2 at its PBEsol-relaxed geometry, from the Alexandria database. Values from VASP.

Structure (Quantum ESPRESSO input):
```
&SYSTEM
  ibrav = 0, nat = 5, ntyp = 4
/
ATOMIC_SPECIES
Pb 207.20 Pb.upf
Au 196.97 Au.upf
Br 79.90 Br.upf
Cl 35.45 Cl.upf
ATOMIC_POSITIONS crystal
Pb 0.000 0.000 0.000
Au 0.000 0.000 0.500
Br 0.500 0.500 0.500
Cl 0.000 0.500 0.000
Cl 0.500 0.000 0.000
CELL_PARAMETERS angstrom
-4.082 -2.777 1.638
-0.381 -2.210 -4.694
3.408 -4.049 1.629
```

Summary:
The calculation puts the total magnetization at 0.29 μB per cell. As for the space-group type: No. 123. The value obtained for the uncorrected formation energy is 3 meV per atom. The crystal system is tetragonal.